Record 1
YTlCr4 | meta-GGA SCAN | PBEsol geometry

```
YTlCr4
1.0
5.0465 0.0000 0.0000
2.5233 4.3704 0.0000
2.5233 1.4568 4.1205
Cr Tl Y
4 1 1
Cartesian
3.8108 2.2002 1.5557
5.0465 2.9136 3.5737
6.2823 2.2002 1.5557
5.0465 4.3405 1.5557
7.5698 4.3704 3.0904
0.0000 0.0000 0.0000
```

Summary:
Formation enthalpy at 0 K: 0.491 eV per atom
Final energy: -28.466 eV per atom
D(E_F): 7.93 states/eV per cell
Size of the total moment: 0.00 μB/f.u.



Record 2
Cd2GaSiB | meta-GGA SCAN | PBEsol geometry

```
Cd2GaSiB
1.0
3.6657 0.0000 0.0000
0.0000 4.9727 0.0000
0.0000 0.0000 4.9727
Si B Ga Cd
1 1 1 2
Cartesian
1.8328 0.0000 0.0000
0.0000 0.0000 0.0000
1.8328 2.4864 2.4864
0.0000 0.0000 2.4864
0.0000 2.4864 0.0000
```

Summary:
Formation energy (no corrections): 14.8 kcal/mol of atoms
Final energy: -18.282 eV per atom
D(E_F): 1.75 states/eV per cell
Size of the total moment: 0.00 μB/f.u.



Record 3
Co2SiIr | meta-GGA SCAN | PBEsol geometry

```
Co2SiIr
1.0
-1.8879 1.8432 -0.0554
-0.7896 -2.5115 -0.1831
-0.6016 -0.3810 7.8206
Co Ir Si
2 1 1
Cartesian
-0.0075 -0.0048 0.0979
-1.7994 -0.6259 5.8687
-0.2924 -0.1852 3.8014
-1.4806 -0.4240 1.7244
```

Summary:
Formation energy (no corrections): 1.4 kcal/mol of atoms
Final energy: -28.871 eV per atom
D(E_F): 2.99 states/eV per cell
Size of the total moment: 3.25 μB/f.u.



Record 4
Be2FeBr | meta-GGA SCAN | PBEsol geometry

```
Be2FeBr
1.0
-1.0083 -0.8979 -2.7567
1.5270 -2.8025 0.3543
-3.9318 -1.6754 3.6929
Be Fe Br
2 1 1
Cartesian
-4.7932 -2.5030 0.8596
-2.8069 -3.3187 0.3987
-3.6397 -3.5099 2.4746
-2.1715 -1.2474 -0.5084
```

Summary:
Formation energy (no corrections): 7.3 kcal/mol of atoms
Final energy: -11.256 eV per atom
D(E_F): 1.07 states/eV per cell
Size of the total moment: 1.67 μB/f.u.



Record 5
Mn4SbAs | meta-GGA SCAN | PBEsol geometry

```
Mn4SbAs
1.0
4.8709 0.0000 0.0000
2.4354 4.2183 0.0000
2.4354 1.4061 3.9770
As Mn Sb
1 4 1
Cartesian
0.0000 0.0000 0.0000
3.6504 2.1076 1.4903
4.8709 2.8122 3.4832
6.0913 2.1076 1.4903
4.8709 4.2214 1.4903
7.3063 4.2183 2.9828
```

Summary:
Formation energy (no corrections): 4.6 kcal/mol of atoms
Final energy: -21.544 eV per atom
D(E_F): 2.98 states/eV per cell
Size of the total moment: 9.99 μB/f.u.



Record 6
Ca2Mg | meta-GGA SCAN | PBEsol geometry

```
Ca2Mg
1.0
6.3346 -0.0038 -0.0020
3.1640 5.4878 -0.0020
3.1643 1.8269 5.8957
Ca Mg
4 2
Cartesian
7.3690 1.7908 -0.0023
4.2003 3.6928 -0.0020
6.3314 3.6556 2.9459
7.4276 1.8246 5.8940
3.1663 1.8273 2.9482
9.4973 5.4825 2.9435
```

Summary:
Formation enthalpy at 0 K: 0.051 eV per atom
Final energy: -8.049 eV per atom
D(E_F): 4.46 states/eV per cell
Size of the total moment: 0.05 μB/f.u.



Record 7
LaTiHg3 | meta-GGA SCAN | PBEsol geometry

```
LaTiHg3
1.0
5.1158 0.0000 0.0000
0.0000 5.1158 0.0000
0.0000 0.0000 5.1158
Ti Hg La
1 3 1
Cartesian
0.0000 0.0000 0.0000
0.0000 2.5579 0.0000
0.0000 0.0000 2.5579
2.5579 0.0000 0.0000
2.5579 2.5579 2.5579
```

Summary:
Formation enthalpy at 0 K: -0.148 eV per atom
Final energy: -52.875 eV per atom
D(E_F): 3.78 states/eV per cell
Size of the total moment: 1.96 μB/f.u.



Record 8
Ti2ZnB | meta-GGA SCAN | PBEsol geometry

```
Ti2ZnB
1.0
-1.3880 -4.9590 0.2561
2.8772 -3.6165 -2.5328
1.9217 -3.0185 3.8689
Zn B Ti
2 2 4
Cartesian
1.3584 -7.0368 0.8601
0.0000 0.0000 0.0000
2.0524 -4.5572 0.7321
-0.6940 -2.4795 0.1280
3.4095 -5.6766 -0.6109
0.3483 -4.6777 2.1390
0.8787 -3.6432 -0.9065
2.1851 -9.1905 2.5628
```

Summary:
Formation enthalpy at 0 K: 0.093 eV per atom
Final energy: -13.159 eV per atom
D(E_F): 7.04 states/eV per cell
Size of the total moment: 0.00 μB/f.u.



> D(E_F) of number 1 (YTlCr4)?

7.93 states/eV per cell